# 1
CoTcP2Cl | PBE | optimized geometry

- V (Å³ per atom) = 20.8
- distance to the lowest polymorph of the same formula (kJ/mol of formula units) = 0
- crystal system = tetragonal
- final energy (eV/f.u.) = -26.14

a b c (Å): 4.517 4.517 5.091
angles (deg): 90.00 90.00 90.00
Atoms (fractional coordinates):
Co (0.000, 0.000, 0.000)
Tc (0.500, 0.500, 0.500)
P (0.000, 0.500, 0.500)
P (0.500, 0.000, 0.500)
Cl (0.500, 0.500, 0.000)

# 2
CoTcPCl2 | PBE | optimized geometry

- V (Å³ per atom) = 21.9
- distance to the lowest polymorph of the same formula (kJ/mol of formula units) = 19
- crystal system = tetragonal
- final energy (eV/f.u.) = -22.78

a b c (Å): 4.883 4.883 4.590
angles (deg): 90.00 90.00 90.00
Atoms (fractional coordinates):
Co (0.000, 0.000, 0.000)
Tc (0.500, 0.500, 0.500)
P (0.500, 0.500, 0.000)
Cl (0.000, 0.500, 0.500)
Cl (0.500, 0.000, 0.500)

# 3
CoTcPCl2 | PBE | optimized geometry

- V (Å³ per atom) = 18.8
- distance to the lowest polymorph of the same formula (kJ/mol of formula units) = 0
- crystal system = tetragonal
- final energy (eV/f.u.) = -22.98

a b c (Å): 4.554 4.554 4.524
angles (deg): 90.00 90.00 90.00
Atoms (fractional coordinates):
Co (0.000, 0.000, 0.000)
Tc (0.500, 0.500, 0.500)
P (0.000, 0.000, 0.500)
Cl (0.000, 0.500, 0.000)
Cl (0.500, 0.000, 0.000)

# 4
CoTePCl2 | PBE | optimized geometry

- V (Å³ per atom) = 19.2
- distance to the lowest polymorph of the same formula (kJ/mol of formula units) = 0
- crystal system = tetragonal
- final energy (eV/f.u.) = -18.35

a b c (Å): 4.479 4.479 4.780
angles (deg): 90.00 90.00 90.00
Atoms (fractional coordinates):
Co (0.000, 0.000, 0.000)
Te (0.500, 0.500, 0.500)
P (0.000, 0.000, 0.500)
Cl (0.000, 0.500, 0.000)
Cl (0.500, 0.000, 0.000)

# 5
CoTeP2Cl | PBE | optimized geometry

- V (Å³ per atom) = 18.4
- distance to the lowest polymorph of the same formula (kJ/mol of formula units) = 0
- crystal system = tetragonal
- final energy (eV/f.u.) = -21.20

a b c (Å): 4.518 4.518 4.499
angles (deg): 90.00 90.00 90.00
Atoms (fractional coordinates):
Co (0.000, 0.000, 0.000)
Te (0.500, 0.500, 0.500)
P (0.000, 0.500, 0.000)
P (0.500, 0.000, 0.000)
Cl (0.000, 0.000, 0.500)

# 6
TiCoP2Cl | PBE | optimized geometry

- V (Å³ per atom) = 21.1
- distance to the lowest polymorph of the same formula (kJ/mol of formula units) = 75
- crystal system = tetragonal
- final energy (eV/f.u.) = -25.37

a b c (Å): 4.732 4.732 4.715
angles (deg): 90.00 90.00 90.00
Atoms (fractional coordinates):
Ti (0.000, 0.000, 0.000)
Co (0.500, 0.500, 0.500)
P (0.000, 0.500, 0.000)
P (0.500, 0.000, 0.000)
Cl (0.000, 0.000, 0.500)

# 7
TiCoP2Cl | PBE | optimized geometry

- V (Å³ per atom) = 17.1
- distance to the lowest polymorph of the same formula (kJ/mol of formula units) = 0
- crystal system = tetragonal
- final energy (eV/f.u.) = -26.15

a b c (Å): 4.302 4.302 4.627
angles (deg): 90.00 90.00 90.00
Atoms (fractional coordinates):
Ti (0.000, 0.000, 0.000)
Co (0.500, 0.500, 0.500)
P (0.000, 0.500, 0.500)
P (0.500, 0.000, 0.500)
Cl (0.500, 0.500, 0.000)

# 8
TlCoPCl2 | PBE | optimized geometry

- V (Å³ per atom) = 30.3
- distance to the lowest polymorph of the same formula (kJ/mol of formula units) = 500
- crystal system = tetragonal
- final energy (eV/f.u.) = -14.16

a b c (Å): 5.327 5.327 5.345
angles (deg): 90.00 90.00 90.00
Atoms (fractional coordinates):
Tl (0.000, 0.000, 0.000)
Co (0.500, 0.500, 0.500)
P (0.000, 0.000, 0.500)
Cl (0.000, 0.500, 0.000)
Cl (0.500, 0.000, 0.000)

# 9
TlCoP2Cl | PBE | optimized geometry

- V (Å³ per atom) = 28.1
- distance to the lowest polymorph of the same formula (kJ/mol of formula units) = 679
- crystal system = tetragonal
- final energy (eV/f.u.) = -14.91

a b c (Å): 5.110 5.110 5.377
angles (deg): 90.00 90.00 90.00
Atoms (fractional coordinates):
Tl (0.000, 0.000, 0.000)
Co (0.500, 0.500, 0.500)
P (0.000, 0.500, 0.000)
P (0.500, 0.000, 0.000)
Cl (0.000, 0.000, 0.500)

# 10
TlCoP2Cl | PBE | optimized geometry

- V (Å³ per atom) = 29.3
- distance to the lowest polymorph of the same formula (kJ/mol of formula units) = 0
- crystal system = tetragonal
- final energy (eV/f.u.) = -21.95

a b c (Å): 4.194 4.194 8.324
angles (deg): 90.00 90.00 90.00
Atoms (fractional coordinates):
Tl (0.000, 0.000, 0.000)
Co (0.500, 0.500, 0.500)
P (0.000, 0.500, 0.500)
P (0.500, 0.000, 0.500)
Cl (0.500, 0.500, 0.000)

# 11
TlCoP2Cl | PBE | optimized geometry

- V (Å³ per atom) = 23.8
- distance to the lowest polymorph of the same formula (kJ/mol of formula units) = 663
- crystal system = tetragonal
- final energy (eV/f.u.) = -15.07

a b c (Å): 4.666 4.666 5.469
angles (deg): 90.00 90.00 90.00
Atoms (fractional coordinates):
Tl (0.000, 0.000, 0.000)
Co (0.500, 0.500, 0.000)
P (0.000, 0.500, 0.500)
P (0.500, 0.000, 0.500)
Cl (0.000, 0.000, 0.500)

# 12
TlCoPCl2 | PBE | optimized geometry

- V (Å³ per atom) = 22.0
- distance to the lowest polymorph of the same formula (kJ/mol of formula units) = 0
- crystal system = tetragonal
- final energy (eV/f.u.) = -19.34

a b c (Å): 5.106 5.106 4.222
angles (deg): 90.00 90.00 90.00
Atoms (fractional coordinates):
Tl (0.000, 0.000, 0.000)
Co (0.500, 0.500, 0.500)
P (0.500, 0.500, 0.000)
Cl (0.000, 0.500, 0.500)
Cl (0.500, 0.000, 0.500)

no.,uncorrected formation energy (eV/atom),N(E_F) (states/eV per cell)
1,0.800,5.08
2,0.759,9.46
3,0.718,3.39
4,0.201,3.63
5,0.342,3.07
6,0.459,4.56
7,0.304,5.71
8,0.882,11.26
9,1.445,3.21
10,0.038,3.04
11,1.413,6.85
12,-0.153,2.19